[1]
3
Lattice="3.651 0.000 0.000 -1.825 3.162 0.000 0.000 0.000 4.709" Properties=species:S:1:pos:R:3 comment="CsLiO (PBE, relaxed)" formation_energy_uncorrected_ev_per_atom=-1.18 pbc="T T T"
Cs 0.000 0.000 0.000
Li 0.000 2.108 2.355
O 1.825 1.054 2.355

=====

[2]
6
Lattice="5.752 -3.007 0.000 5.752 3.007 0.000 -0.258 0.000 3.668" Properties=species:S:1:pos:R:3 comment="CsLiO (PBE, relaxed)" formation_energy_uncorrected_ev_per_atom=-1.35 pbc="T T T"
Cs 1.934 0.000 0.806
Cs 9.313 0.000 2.861
Li 5.051 0.000 0.874
Li 6.196 0.000 2.793
O 4.243 0.000 2.658
O 7.004 0.000 1.010

=====

[3]
12
Lattice="6.788 -1.766 0.000 6.788 1.766 0.000 -3.059 0.000 6.894" Properties=species:S:1:pos:R:3 comment="CsLi3O2 (PBE, relaxed)" formation_energy_uncorrected_ev_per_atom=-1.52 pbc="T T T"
Cs 1.723 0.000 0.375
Cs 8.793 0.000 6.519
Li -0.433 0.000 2.620
Li 2.563 0.000 3.805
Li 4.322 0.000 2.546
Li 6.194 0.000 4.347
Li 7.953 0.000 3.088
Li 10.950 0.000 4.274
O 0.644 0.000 4.218
O 4.320 0.000 4.871
O 6.196 0.000 2.023
O 9.873 0.000 2.675

=====

[4]
12
Lattice="-4.944 4.944 3.089 4.944 -4.944 3.089 4.944 4.944 -3.089" Properties=species:S:1:pos:R:3 comment="CsLiO (PBE, relaxed)" formation_energy_uncorrected_ev_per_atom=-1.31 pbc="T T T"
Cs 3.057 0.000 0.000
Cs 6.832 0.000 0.000
Cs 0.000 3.057 0.000
Cs 0.000 6.832 0.000
Li 3.602 3.602 0.000
Li 1.342 -1.342 3.089
Li -1.342 1.342 3.089
Li 1.342 1.342 3.089
O 4.944 2.391 0.000
O 2.391 4.944 0.000
O 2.554 0.000 3.089
O 0.000 2.554 3.089

=====

[5]
5
Lattice="-3.547 3.547 3.645 3.547 -3.547 3.645 3.547 3.547 -3.645" Properties=species:S:1:pos:R:3 comment="Cs2Li2O (PBE, relaxed)" formation_energy_uncorrected_ev_per_atom=-0.49 e_above_lowest_polymorph_ev_per_atom=0.000 pbc="T T T"
Cs 3.547 0.000 1.822
Cs 0.000 3.547 1.822
Li 0.000 0.000 1.755
Li 0.000 0.000 5.534
O 0.000 0.000 0.000

=====

[6]
9
Lattice="5.316 -3.862 0.000 5.316 3.862 0.000 -0.745 0.000 4.238" Properties=species:S:1:pos:R:3 comment="Cs2LiO6 (PBE, relaxed)" formation_energy_uncorrected_ev_per_atom=-0.70 pbc="T T T"
Cs 1.634 0.000 1.109
Cs 8.251 0.000 3.128
Li 5.316 0.000 0.000
O 4.299 1.923 1.093
O 5.586 1.923 3.145
O 4.943 1.172 2.119
O 4.943 -1.172 2.119
O 4.299 -1.923 1.093
O 5.586 -1.923 3.145

=====

[7]
12
Lattice="6.888 0.000 0.000 0.000 3.649 0.000 0.000 0.000 9.772" Properties=species:S:1:pos:R:3 comment="CsLiO (PBE, relaxed)" formation_energy_uncorrected_ev_per_atom=-1.35 pbc="T T T"
Cs 0.140 0.912 1.699
Cs 3.304 2.737 6.585
Cs 3.584 0.912 3.188
Cs 6.749 2.737 8.074
Li 0.671 2.737 4.879
Li 2.773 0.912 9.765
Li 4.115 2.737 0.007
Li 6.217 0.912 4.893
O 1.291 0.912 5.144
O 2.153 2.737 0.258
O 4.735 0.912 9.514
O 5.597 2.737 4.628

=====

[8]
10
Lattice="6.583 0.000 0.000 0.000 6.583 0.000 0.000 0.000 6.428" Properties=species:S:1:pos:R:3 comment="Cs2Li2O (PBE, relaxed)" formation_energy_uncorrected_ev_per_atom=-0.16 e_above_lowest_polymorph_ev_per_atom=0.335 pbc="T T T"
Cs 1.639 1.653 0.000
Cs 1.653 4.944 0.000
Cs 4.930 1.639 0.000
Cs 4.944 4.930 0.000
Li 1.637 4.928 3.214
Li 1.655 1.637 3.214
Li 4.928 4.946 3.214
Li 4.946 1.655 3.214
O 0.000 0.000 3.214
O 3.292 3.292 3.214

=====

[9]
5
Lattice="6.126 0.000 0.000 0.000 6.126 0.000 0.000 0.000 6.126" Properties=species:S:1:pos:R:3 comment="Cs3LiO (PBE, relaxed)" formation_energy_uncorrected_ev_per_atom=-0.42 e_above_lowest_polymorph_ev_per_atom=0.000 pbc="T T T"
Cs 0.000 0.000 3.063
Cs 0.000 3.063 0.000
Cs 3.063 0.000 0.000
Li 3.063 3.063 3.063
O 0.000 0.000 0.000

=====

[10]
18
Lattice="3.648 2.106 6.092 -3.648 2.106 6.092 0.000 -4.212 6.092" Properties=species:S:1:pos:R:3 comment="Cs2LiOs3O12 (PBE, relaxed)" formation_energy_uncorrected_ev_per_atom=-1.25 pbc="T T T"
Cs 0.000 0.000 2.292
Cs 0.000 0.000 15.985
Li 0.000 0.000 9.138
Os -1.824 -1.053 6.092
Os -1.824 1.053 12.184
Os 0.000 2.106 6.092
O -1.377 -0.795 7.808
O 0.000 -1.620 5.688
O -1.403 0.810 5.688
O -1.403 -0.810 12.588
O 0.000 -1.590 10.468
O -1.377 0.795 10.468
O 1.377 -0.795 7.808
O 0.000 1.590 7.808
O 1.403 0.810 5.688
O 1.403 -0.810 12.588
O 0.000 1.620 12.588
O 1.377 0.795 10.468

=====

[11]
14
Lattice="6.313 0.000 0.000 -3.157 5.467 0.000 0.000 0.000 8.368" Properties=species:S:1:pos:R:3 comment="Cs3LiOs2O8 (PBE, relaxed)" formation_energy_uncorrected_ev_per_atom=-1.33 pbc="T T T"
Cs 0.000 0.000 0.000
Cs 0.000 3.645 5.618
Cs 3.157 1.822 2.750
Li 0.000 0.000 4.184
Os 0.000 3.645 2.017
Os 3.157 1.822 6.351
O 0.000 1.949 2.706
O -1.469 4.493 2.706
O 0.000 3.645 0.227
O 1.688 0.974 5.662
O 1.469 4.493 2.706
O 3.157 1.822 8.141
O 4.626 0.974 5.662
O 3.157 3.519 5.662

=====

[12]
16
Lattice="0.000 6.015 11.412 2.717 0.000 11.412 2.717 6.015 0.000" Properties=species:S:1:pos:R:3 comment="Cs2LiOsO4 (PBE, relaxed)" formation_energy_uncorrected_ev_per_atom=-1.33 pbc="T T T"
Cs 2.038 4.511 0.956
Cs 3.397 7.519 6.662
Cs 2.038 4.511 16.161
Cs 3.397 7.519 21.867
Li 0.679 1.504 2.853
Li 4.755 10.526 19.970
Os 2.038 4.511 8.559
Os 3.397 7.519 14.264
O 3.339 3.971 7.351
O 3.339 5.051 9.766
O 4.698 8.058 13.057
O 4.698 6.979 15.472
O 0.737 5.051 7.351
O 0.737 3.971 9.766
O 2.096 6.979 13.057
O 2.096 8.058 15.472

=====

[13]
12
Lattice="3.271 -5.588 0.000 3.271 5.588 0.000 -1.983 0.000 6.332" Properties=species:S:1:pos:R:3 comment="Cs3Li2OsO6 (PBE, relaxed)" formation_energy_uncorrected_ev_per_atom=-1.29 pbc="T T T"
Cs 0.000 0.000 0.000
Cs 3.271 1.982 0.000
Cs 3.271 -1.982 0.000
Li 2.279 2.799 3.166
Li 2.279 -2.799 3.166
Os 2.279 0.000 3.166
O 1.381 1.459 2.151
O 0.890 0.000 4.382
O 1.381 -1.459 2.151
O 3.177 1.459 4.181
O 3.668 0.000 1.950
O 3.177 -1.459 4.181

=====

[14]
5
Lattice="4.520 0.000 0.000 0.000 4.520 0.000 0.000 0.000 5.728" Properties=species:S:1:pos:R:3 comment="CsLiPO2 (PBE, relaxed)" formation_energy_uncorrected_ev_per_atom=0.78 pbc="T T T"
Cs 0.000 0.000 0.000
Li 2.260 2.260 2.864
P 0.000 0.000 2.864
O 0.000 2.260 0.000
O 2.260 0.000 0.000

=====

[15]
80
Lattice="0.000 9.883 6.718 9.663 0.000 6.718 9.663 9.883 0.000" Properties=species:S:1:pos:R:3 comment="CsLiP2O6 (PBE, relaxed)" formation_energy_uncorrected_ev_per_atom=-2.29 pbc="T T T"
Cs 7.269 5.276 3.164
Cs 16.889 10.217 6.523
Cs 2.394 4.608 3.164
Cs 9.733 7.354 6.718
Cs 14.426 12.296 10.077
Cs 9.594 12.413 6.718
Cs 2.437 9.550 6.523
Cs 14.565 17.354 10.077
Li 12.504 4.676 6.031
Li 10.049 8.023 2.983
Li 9.278 11.744 2.983
Li 14.110 12.965 6.342
Li 5.217 6.802 6.342
Li 11.654 9.618 9.390
Li 7.672 10.149 9.390
Li 6.823 15.091 6.031
P 4.987 1.826 3.373
P 9.819 3.115 6.731
P 14.090 7.173 7.175
P 11.961 10.391 3.798
P 12.953 9.942 6.682
P 7.366 9.376 3.798
P 7.129 4.434 7.157
P 4.676 8.057 3.373
P 17.785 14.767 10.040
P 6.374 9.825 6.682
P 12.198 15.333 7.157
P 9.258 7.652 10.533
P 9.508 16.652 6.731
P 10.069 12.115 10.533
P 5.237 12.594 7.175
P 11.206 14.883 10.040
O 5.300 2.761 2.086
O 15.435 6.693 6.732
O 10.496 6.273 3.645
O 11.636 9.229 2.906
O 3.447 1.394 3.042
O 12.844 6.504 6.685
O 10.680 4.342 6.735
O 9.854 2.162 7.884
O 12.761 9.783 5.068
O 5.022 2.780 4.525
O 14.080 8.772 6.861
O 8.278 3.548 6.401
O 4.363 7.122 2.086
O 8.465 8.439 4.205
O 10.862 11.327 4.205
O 6.217 8.490 3.042
O 7.691 10.537 2.906
O 13.663 11.215 7.004
O 6.804 5.596 6.265
O 15.694 13.381 7.564
O 11.679 9.592 7.387
O 4.641 7.104 4.525
O 7.929 5.042 8.427
O 8.831 13.494 3.645
O 13.479 9.284 10.094
O 12.522 14.171 6.265
O 6.566 9.984 5.068
O 9.248 6.054 10.220
O 10.604 8.132 10.091
O 5.664 8.552 7.004
O 7.648 10.175 7.387
O 13.297 16.269 7.564
O 16.510 15.117 10.746
O 11.048 16.219 6.401
O 11.314 11.446 10.043
O 8.013 8.321 10.043
O 11.398 14.725 8.427
O 5.247 10.995 6.861
O 18.858 17.586 12.163
O 6.482 13.263 6.685
O 8.647 15.425 6.735
O 8.723 11.635 10.091
O 12.480 14.534 10.746
O 10.079 13.713 10.220
O 3.891 13.074 6.732
O 5.848 10.483 10.094
O 9.473 17.605 7.884
O 10.132 12.064 12.163

=====

[16]
11
Lattice="3.074 1.775 5.770 -3.074 1.775 5.770 0.000 -3.550 5.770" Properties=species:S:1:pos:R:3 comment="Cs2LiP2O6 (PBE, relaxed)" formation_energy_uncorrected_ev_per_atom=-2.02 pbc="T T T"
Cs 0.000 0.000 3.875
Cs 0.000 0.000 13.436
Li 0.000 0.000 0.000
P 0.000 0.000 7.401
P 0.000 0.000 9.910
O 0.000 -1.499 7.110
O -1.298 0.750 7.110
O -1.298 -0.750 10.201
O 1.298 0.750 7.111
O 1.298 -0.750 10.201
O 0.000 1.499 10.201

=====

[17]
13
Lattice="5.137 0.000 0.000 2.424 4.774 0.000 0.251 0.812 8.161" Properties=species:S:1:pos:R:3 comment="CsLiTaP2O8 (PBE, relaxed)" formation_energy_uncorrected_ev_per_atom=-2.31 e_above_lowest_polymorph_ev_per_atom=0.000 pbc="T T T"
Cs 0.000 0.000 0.000
Li 5.327 2.630 1.207
Ta 5.291 0.728 4.325
P 2.712 2.380 2.756
P 5.056 3.811 5.983
O 2.822 3.923 3.039
O 2.061 2.179 1.390
O 1.882 1.685 3.858
O 3.683 4.488 5.698
O 4.184 1.800 2.763
O 5.324 3.896 7.489
O 4.950 2.314 5.550
O 6.127 4.511 5.119

=====

[18]
13
Lattice="4.361 -2.646 0.000 4.361 2.646 0.000 -2.121 0.000 9.552" Properties=species:S:1:pos:R:3 comment="CsLiTaP2O8 (PBE, relaxed)" formation_energy_uncorrected_ev_per_atom=-2.30 e_above_lowest_polymorph_ev_per_atom=0.002 pbc="T T T"
Cs 0.000 0.000 0.000
Li 6.357 0.000 2.728
Ta 6.875 0.000 5.381
P 1.147 0.000 7.045
P 3.850 0.000 3.577
O 0.029 0.000 5.944
O 2.023 1.262 6.780
O 2.959 1.272 3.783
O 0.627 0.000 8.462
O 4.505 0.000 2.194
O 2.023 -1.262 6.780
O 2.959 -1.272 3.783
O 4.972 0.000 4.663

=====

[19]
9
Lattice="6.433 -1.829 0.000 6.433 1.829 0.000 -2.525 0.000 6.764" Properties=species:S:1:pos:R:3 comment="Cs2Li2PaO4 (PBE, relaxed)" formation_energy_uncorrected_ev_per_atom=-2.18 pbc="T T T"
Cs 1.682 0.000 0.592
Cs 8.658 0.000 6.172
Li 2.784 0.000 3.527
Li 7.557 0.000 3.237
Pa -1.262 0.000 3.382
O 0.861 0.000 4.081
O 4.479 0.000 4.654
O 5.862 0.000 2.109
O 9.480 0.000 2.683